Compound: Mn2Fe3Tc3
Source: the Alexandria database
Functional: PBE
Structure: relaxed

```
Mn2Fe3Tc3
1.0
3.869 0.000 0.000
-1.935 4.149 0.000
0.000 0.000 12.470
Mn Fe Tc
4 6 6
direct
0.752 0.504 0.647
0.248 0.496 0.147
0.752 0.504 0.853
0.248 0.496 0.353
0.957 0.914 0.097
0.043 0.086 0.597
0.957 0.914 0.403
0.043 0.086 0.903
0.806 0.612 0.250
0.194 0.388 0.750
0.647 0.294 0.043
0.353 0.706 0.543
0.647 0.294 0.457
0.353 0.706 0.957
0.514 0.028 0.250
0.486 0.972 0.750
```

Properties
The calculation puts the spin magnetization at 1.32 μB per formula unit. The total DFT energy (no corrections) is -73.45 eV/f.u. The volume comes out at 200 Å³/cell. The formation energy is 171 meV/atom.